Material: Dy2NiGe3Ir4
Method: DFT, PBE
State: relaxed

Calculated values
The density comes out at 12.88 g/cm3. The value obtained for the total DFT energy (no corrections) is -7.120 eV per atom. Its total magnetic moment is 0.0000 μB/atom. The value obtained for the volume is 17.67 A^3/atom.

Cell and atoms, written as POSCAR:
```
Dy2NiGe3Ir4
1.0
4.130 0.000 0.000
0.000 4.130 0.000
0.000 0.000 10.359
Dy Ni Ge Ir
2 1 3 4
Direct
0.000 0.500 0.248
0.500 0.000 0.752
0.500 0.500 0.000
0.000 0.000 0.000
0.000 0.500 0.633
0.500 0.000 0.367
0.000 0.000 0.500
0.000 0.500 0.866
0.500 0.000 0.134
0.500 0.500 0.500
```

***

Material: DyGeIrO
Method: DFT, PBE
State: relaxed

Calculated values
The density comes out at 10.96 g/cm3. The value obtained for the total DFT energy (no corrections) is -7.571 eV per atom. The calculation puts the uncorrected formation energy at -699 kJ/mol of formula units. Its total magnetic moment is 0.0000 μB/atom. The value obtained for the volume is 16.79 A^3/atom.

Cell and atoms, written as POSCAR:
```
DyGeIrO
1.0
4.058 0.000 0.000
0.000 4.058 0.000
0.000 0.000 8.156
Dy Ge Ir O
2 2 2 2
Direct
0.250 0.250 0.128
0.750 0.750 0.872
0.250 0.250 0.672
0.750 0.750 0.328
0.250 0.750 0.500
0.750 0.250 0.500
0.250 0.750 0.000
0.750 0.250 0.000
```

***

Material: Dy3GeP2Ir9
Method: DFT, PBE
State: relaxed

Calculated values
The density comes out at 13.88 g/cm3. The value obtained for the total DFT energy (no corrections) is -7.675 eV per atom. Its total magnetic moment is 0.0000 μB/atom. The value obtained for the volume is 18.76 A^3/atom.

Cell and atoms, written as POSCAR:
```
Dy3GeP2Ir9
1.0
5.640 0.000 0.000
-2.820 4.884 0.000
0.000 0.000 10.213
Dy Ge P Ir
3 1 2 9
Direct
0.000 0.000 0.000
0.333 0.667 0.581
0.667 0.333 0.419
0.000 0.000 0.500
0.333 0.667 0.161
0.667 0.333 0.839
0.000 0.500 0.000
0.160 0.320 0.308
0.160 0.840 0.308
0.320 0.160 0.692
0.500 0.000 0.000
0.500 0.500 0.000
0.680 0.840 0.308
0.840 0.160 0.692
0.840 0.680 0.692
```